No. 1
Nb2AsC: relaxed, PBE.

a b c (Å): 3.3349 3.3349 12.0815
angles (deg): 90.00 90.00 120.00
With the nearest neighbours (Å) after each atom.
Fractional coordinates of all 8 atoms:
Nb  0.3333  0.6667  0.0944  3 C 2.24
Nb  0.3333  0.6667  0.4056  3 C 2.24
Nb  0.6667  0.3333  0.5944  3 C 2.24
Nb  0.6667  0.3333  0.9056  3 C 2.24
As  0.3333  0.6667  0.7500  6 Nb 2.69
As  0.6667  0.3333  0.2500  6 Nb 2.69
C  0.0000  0.0000  0.0000  6 Nb 2.24
C  0.0000  0.0000  0.5000  6 Nb 2.24

Summary:
Uncorrected energy   -9.138 eV per atom
Space-group type   P6_3/mmc

---

No. 2
Nb4AsC3: relaxed, PBE.

a b c (Å): 3.2336 3.2336 22.8102
angles (deg): 90.00 90.00 120.00
With the nearest neighbours (Å) after each atom.
Fractional coordinates of all 16 atoms:
Nb  0.0000  0.0000  0.1649  3 C 2.21
Nb  0.0000  0.0000  0.3351  3 C 2.21
Nb  0.0000  0.0000  0.6649  3 C 2.21
Nb  0.0000  0.0000  0.8351  3 C 2.21
Nb  0.3333  0.6667  0.0585  6 C 2.25-2.29
Nb  0.3333  0.6667  0.4415  6 C 2.25-2.29
Nb  0.6667  0.3333  0.5585  6 C 2.25-2.29
Nb  0.6667  0.3333  0.9415  6 C 2.25-2.29
As  0.3333  0.6667  0.2500  6 Nb 2.69
As  0.6667  0.3333  0.7500  6 Nb 2.69
C  0.0000  0.0000  0.0000  6 Nb 2.29
C  0.0000  0.0000  0.5000  6 Nb 2.29
C  0.3333  0.6667  0.6134  6 Nb 2.21-2.25
C  0.3333  0.6667  0.8866  6 Nb 2.21-2.25
C  0.6667  0.3333  0.1134  6 Nb 2.21-2.25
C  0.6667  0.3333  0.3866  6 Nb 2.21-2.25

Summary:
Uncorrected energy   -9.619 eV per atom
Space-group type   P6_3/mmc

---

No. 3
Nb2AsC: relaxed, PBE.

a b c (Å): 3.3427 3.3427 12.0498
angles (deg): 90.00 90.00 120.00
With the nearest neighbours (Å) after each atom.
Fractional coordinates of all 8 atoms:
Nb  0.3333  0.6667  0.0943  3 C 2.24
Nb  0.3333  0.6667  0.4057  3 C 2.24
Nb  0.6667  0.3333  0.5943  3 C 2.24
Nb  0.6667  0.3333  0.9057  3 C 2.24
As  0.3333  0.6667  0.7500  6 Nb 2.69
As  0.6667  0.3333  0.2500  6 Nb 2.69
C  0.0000  0.0000  0.0000  6 Nb 2.24
C  0.0000  0.0000  0.5000  6 Nb 2.24

Summary:
Uncorrected energy   -9.139 eV per atom
Space-group type   P6_3/mmc

---

No. 4
Nb3AsC2: relaxed, PBE.

a b c (Å): 3.2469 3.2469 17.6940
angles (deg): 90.00 90.00 120.00
With the nearest neighbours (Å) after each atom.
Fractional coordinates of all 12 atoms:
Nb  0.0000  0.0000  0.0000  6 C 2.29
Nb  0.0000  0.0000  0.5000  6 C 2.29
Nb  0.3333  0.6667  0.1398  3 C 2.21
Nb  0.3333  0.6667  0.3602  3 C 2.21
Nb  0.6667  0.3333  0.6398  3 C 2.21
Nb  0.6667  0.3333  0.8602  3 C 2.21
As  0.0000  0.0000  0.2500  6 Nb 2.71
As  0.0000  0.0000  0.7500  6 Nb 2.71
C  0.3333  0.6667  0.5741  6 Nb 2.21-2.29
C  0.3333  0.6667  0.9259  6 Nb 2.21-2.29
C  0.6667  0.3333  0.0741  6 Nb 2.21-2.29
C  0.6667  0.3333  0.4259  6 Nb 2.21-2.29

Summary:
Uncorrected energy   -9.421 eV per atom
Space-group type   P6_3/mmc

---

No. 5
NbNiAsC: relaxed, PBE.

a b c (Å): 3.2551 3.2551 11.3184
angles (deg): 90.00 90.00 120.00
With the nearest neighbours (Å) after each atom.
Fractional coordinates of all 8 atoms:
Nb  0.3333  0.6667  0.1051  3 C 2.22
Nb  0.6667  0.3333  0.8949  3 C 2.22
Ni  0.3333  0.6667  0.4209  3 C 2.08
Ni  0.6667  0.3333  0.5791  3 C 2.08
As  0.3333  0.6667  0.7250  3 Ni 2.50, 3 Nb 2.69
As  0.6667  0.3333  0.2750  3 Ni 2.50, 3 Nb 2.69
C  0.0000  0.0000  0.0000  6 Nb 2.22
C  0.0000  0.0000  0.5000  6 Ni 2.08

Summary:
Uncorrected energy   -7.418 eV per atom
Space-group type   P-3m1

---

No. 6
NbAsOsC: relaxed, PBE.

a b c (Å): 3.3876 3.3876 11.4022
angles (deg): 90.00 90.00 120.00
With the nearest neighbours (Å) after each atom.
Fractional coordinates of all 8 atoms:
Nb  0.3333  0.6667  0.0975  3 C 2.25
Nb  0.6667  0.3333  0.9025  3 C 2.25
As  0.3333  0.6667  0.7341  3 Os 2.63, 3 Nb 2.74
As  0.6667  0.3333  0.2659  3 Os 2.63, 3 Nb 2.74
Os  0.3333  0.6667  0.4205  3 C 2.16
Os  0.6667  0.3333  0.5795  3 C 2.16
C  0.0000  0.0000  0.0000  6 Nb 2.25
C  0.0000  0.0000  0.5000  6 Os 2.16

Summary:
Uncorrected energy   -8.676 eV per atom
Space-group type   P-3m1